[1]
# ThSi2Au3 | Alexandria | PBE-GGA | relaxed
# E_form (uncorrected): -0.43 eV per atom
data_ThSi2Au3
_chemical_formula_sum 'Th6 Si12 Au18'
_space_group_name_H-M_alt 'C 1 2/m 1'
_space_group_IT_number 12
_space_group_name_Hall '-C 2y'
_cell_length_a 16.592
_cell_length_b 4.359
_cell_length_c 10.050
_cell_angle_alpha 90.00
_cell_angle_beta 102.45
_cell_angle_gamma 90.00
loop_
_atom_site_label
_atom_site_type_symbol
_atom_site_fract_x
_atom_site_fract_y
_atom_site_fract_z
Th1 Th 0.000 0.000 0.000
Th2 Th 0.168 0.000 0.700
Si1 Si 0.020 0.500 0.780
Si2 Si 0.156 0.500 0.472
Si3 Si 0.193 0.000 0.099
Au1 Au 0.000 0.500 0.500
Au2 Au 0.018 0.000 0.333
Au3 Au 0.130 0.500 0.191
Au4 Au 0.159 0.500 0.923
Au5 Au 0.196 0.000 0.373

=====

[2]
# Ho2Ni5As3 | Alexandria | PBE-GGA | relaxed
# Energy relative to the elements: -0.647 eV per atom
data_Ho2Ni5As3
_chemical_formula_sum 'Ho8 Ni20 As12'
_space_group_name_H-M_alt 'C m c 21'
_space_group_IT_number 36
_space_group_name_Hall 'C 2c -2'
_cell_length_a 4.073
_cell_length_b 22.939
_cell_length_c 6.531
_cell_angle_alpha 90.00
_cell_angle_beta 90.00
_cell_angle_gamma 90.00
loop_
_atom_site_label
_atom_site_type_symbol
_atom_site_fract_x
_atom_site_fract_y
_atom_site_fract_z
Ho1 Ho 0.000 0.018 0.000
Ho2 Ho 0.000 0.325 0.999
Ni1 Ni 0.000 0.106 0.693
Ni2 Ni 0.000 0.207 0.163
Ni3 Ni 0.000 0.217 0.771
Ni4 Ni 0.000 0.375 0.482
Ni5 Ni 0.000 0.445 0.811
As1 As 0.000 0.109 0.293
As2 As 0.000 0.272 0.465
As3 As 0.000 0.448 0.206

=====

[3]
# TmGeW | Alexandria | PBE-GGA | relaxed
# Energy relative to the elements: -0.400 eV per atom
data_TmGeW
_chemical_formula_sum 'Tm2 Ge2 W2'
_space_group_name_H-M_alt 'P 4/n m m'
_space_group_IT_number 129
_cell_length_a 3.902
_cell_length_b 3.902
_cell_length_c 7.654
_cell_angle_alpha 90.00
_cell_angle_beta 90.00
_cell_angle_gamma 90.00
loop_
_space_group_symop_operation_xyz
'x,y,z'
'-x,-y,-z'
'-y+1/2,x,z'
'y+1/2,-x,-z'
'-x+1/2,-y+1/2,z'
'x+1/2,y+1/2,-z'
'y,-x+1/2,z'
'-y,x+1/2,-z'
'x+1/2,-y,-z'
'-x+1/2,y,z'
'-y,-x,-z'
'y,x,z'
'-x,y+1/2,-z'
'x,-y+1/2,z'
'y+1/2,x+1/2,-z'
'-y+1/2,-x+1/2,z'
loop_
_atom_site_label
_atom_site_type_symbol
_atom_site_fract_x
_atom_site_fract_y
_atom_site_fract_z
Tm1 Tm 0.250 0.250 0.144
Ge1 Ge 0.250 0.250 0.747
W1 W 0.250 0.750 0.500